No. 1
The following is a DFT calculation (GGA-PBE) of crystalline Co2PbCl at its relaxed geometry.

Cell: 12.8442 3.3385 4.3122 Å, 90.00 90.83 90.00°
Last column: nearest neighbours and their distance in Å.
Space group Cm (No. 8)
Inequivalent atoms, fractional coordinates:
Co 0.0000 0.0000 0.0000 [2 per cell]  2 Co 2.26
Co 0.1182 0.5000 0.0064 [2 per cell]  2 Co 2.26, 2 Cl 2.33
Pb 0.4740 0.0000 0.4992 [2 per cell]  6 Co 2.75-2.85
Cl 0.2443 0.0000 0.0085 [2 per cell]  2 Co 2.33

Properties
- V: 184.9 Å³ per cell
- E above lowest polymorph: 82.7 meV/atom
- Magnetic moment: 0.804 μB/atom
- ΔE_f (raw): 0.2517 eV per atom

No. 2
The following is a DFT calculation (GGA-PBE) of crystalline CoPbCl3 at its relaxed geometry.

Cell: 4.8190 4.8190 4.8190 Å, 90.00 90.00 90.00°
Last column: nearest neighbours and their distance in Å.
Space group Pm-3m (No. 221)
Inequivalent atoms, fractional coordinates:
Co 0.0000 0.0000 0.0000 [1 per cell]  6 Cl 2.41
Pb 0.5000 0.5000 0.5000 [1 per cell]  12 Cl 3.41
Cl 0.0000 0.0000 0.5000 [3 per cell]  2 Co 2.41

Properties
- V: 111.9 Å³ per cell
- E above lowest polymorph: 0.0 meV/atom
- Magnetic moment: 0.416 μB/atom
- ΔE_f (raw): -0.4861 eV per atom

No. 3
The following is a DFT calculation (GGA-PBE) of crystalline CoPbCl at its relaxed geometry.

Cell: 3.3818 3.3818 7.2404 Å, 90.00 90.00 120.00°
Last column: nearest neighbours and their distance in Å.
Space group P3m1 (No. 156)
Inequivalent atoms, fractional coordinates:
Co 0.0000 0.0000 0.0000 [1 per cell]  3 Cl 2.32
Pb 0.6667 0.3333 0.3011 [1 per cell]  3 Co 2.93
Cl 0.3333 0.6667 0.8275 [1 per cell]  3 Co 2.32

Properties
- V: 71.7 Å³ per cell
- E above lowest polymorph: 0.0 meV/atom
- Magnetic moment: 0.631 μB/atom
- ΔE_f (raw): -0.0280 eV per atom

No. 4
The following is a DFT calculation (GGA-PBE) of crystalline Co2PbCl at its relaxed geometry.

Cell: 6.3235 6.6362 3.1976 Å, 90.00 90.00 90.00°
Last column: nearest neighbours and their distance in Å.
Space group Cmmm (No. 65)
Inequivalent atoms, fractional coordinates:
Co 0.2500 0.2500 0.0000 [4 per cell]  4 Cl 2.79, 4 Pb 2.79
Pb 0.0000 0.0000 0.5000 [2 per cell]  8 Co 2.79
Cl 0.0000 0.5000 0.5000 [2 per cell]  8 Co 2.79

Properties
- V: 134.2 Å³ per cell
- E above lowest polymorph: 542.3 meV/atom
- Magnetic moment: 0.689 μB/atom
- ΔE_f (raw): 0.7113 eV per atom

No. 5
The following is a DFT calculation (GGA-PBE) of crystalline Co2PbCl at its relaxed geometry.

Cell: 3.0828 4.2030 5.5002 Å, 90.00 90.00 90.00°
Last column: nearest neighbours and their distance in Å.
Space group Pmmm (No. 47)
Inequivalent atoms, fractional coordinates:
Co 0.0000 0.0000 0.0000 [1 per cell]  4 Cl 2.61
Co 0.5000 0.0000 0.5000 [1 per cell]  4 Pb 2.61
Pb 0.0000 0.5000 0.5000 [1 per cell]  4 Co 2.61
Cl 0.5000 0.5000 0.0000 [1 per cell]  4 Co 2.61

Properties
- V: 71.3 Å³ per cell
- E above lowest polymorph: 431.9 meV/atom
- Magnetic moment: 0.697 μB/atom
- ΔE_f (raw): 0.6009 eV per atom

No. 6
The following is a DFT calculation (GGA-PBE) of crystalline Co2PbCl at its relaxed geometry.

Cell: 3.1458 3.1458 6.5828 Å, 90.00 90.00 90.00°
Last column: nearest neighbours and their distance in Å.
Space group P4/mmm (No. 123)
Inequivalent atoms, fractional coordinates:
Co 0.0000 0.0000 0.2142 [2 per cell]  4 Cl 2.63, 1 Co 2.82, 4 Pb 2.91
Pb 0.5000 0.5000 0.5000 [1 per cell]  8 Co 2.91, 4 Pb 3.15
Cl 0.5000 0.5000 0.0000 [1 per cell]  8 Co 2.63

Properties
- V: 65.1 Å³ per cell
- E above lowest polymorph: 446.8 meV/atom
- Magnetic moment: 0.712 μB/atom
- ΔE_f (raw): 0.6158 eV per atom

No. 7
The following is a DFT calculation (GGA-PBE) of crystalline CoPb2Cl6 at its relaxed geometry.

Cell: 13.5305 4.1313 11.3912 Å, 90.00 116.96 90.00°
Last column: nearest neighbours and their distance in Å.
Space group C2/m (No. 12)
Inequivalent atoms, fractional coordinates:
Co 0.0000 0.0000 0.0000 [2 per cell]  4 Cl 2.27-2.36
Pb 0.1926 0.5000 0.3064 [4 per cell]  7 Cl 2.87-3.14
Cl 0.0095 0.0000 0.2122 [4 per cell]  1 Co 2.36
Cl 0.1527 0.5000 0.5337 [4 per cell]  3 Pb 2.87-2.92
Cl 0.1882 0.0000 0.0970 [4 per cell]  1 Co 2.27

Properties
- V: 567.5 Å³ per cell
- E above lowest polymorph: 44.9 meV/atom
- Magnetic moment: 0.337 μB/atom
- ΔE_f (raw): -0.8555 eV per atom

No. 8
The following is a DFT calculation (GGA-PBE) of crystalline CoPbCl at its relaxed geometry.

Cell: 3.1454 3.1454 13.5939 Å, 90.00 90.00 90.00°
Last column: nearest neighbours and their distance in Å.
Space group I4mm (No. 107)
Inequivalent atoms, fractional coordinates:
Co 0.0000 0.0000 0.0000 [2 per cell]  4 Cl 2.53
Pb 0.0000 0.0000 0.6528 [2 per cell]  4 Co 3.04, 4 Pb 3.15, 1 Cl 3.28
Cl 0.0000 0.0000 0.4118 [2 per cell]  4 Co 2.53

Properties
- V: 134.5 Å³ per cell
- E above lowest polymorph: 191.0 meV/atom
- Magnetic moment: 0.628 μB/atom
- ΔE_f (raw): 0.1630 eV per atom